A PBEsol-optimized structure of Li3V2Ge2O10. Source: Alexandria, functional meta-GGA SCAN.

POSCAR file:
```
Li3V2Ge2O10
1.0
4.555 -4.583 0.000
4.555 4.583 0.000
0.000 0.000 9.049
Li V Ge O
6 4 4 20
Direct
0.000 0.000 0.000 Li
0.000 0.500 0.000 Li
0.000 0.500 0.500 Li
0.500 0.000 0.000 Li
0.500 0.000 0.500 Li
0.500 0.500 0.500 Li
0.241 0.759 0.696 V
0.259 0.741 0.196 V
0.741 0.259 0.804 V
0.759 0.241 0.304 V
0.249 0.251 0.750 Ge
0.251 0.249 0.250 Ge
0.749 0.751 0.750 Ge
0.751 0.749 0.250 Ge
0.031 0.248 0.866 O
0.034 0.260 0.366 O
0.231 0.769 0.875 O
0.240 0.466 0.134 O
0.248 0.031 0.134 O
0.252 0.469 0.634 O
0.260 0.034 0.634 O
0.269 0.731 0.375 O
0.466 0.240 0.866 O
0.469 0.252 0.366 O
0.531 0.748 0.634 O
0.534 0.760 0.134 O
0.731 0.269 0.625 O
0.740 0.966 0.366 O
0.748 0.531 0.366 O
0.752 0.969 0.866 O
0.760 0.534 0.866 O
0.769 0.231 0.125 O
0.966 0.740 0.634 O
0.969 0.752 0.134 O
```

Summary:
* electronic total energy: -10.64 eV per atom
* SG: No. 64
* crystal system: orthorhombic
* magnetization: 1.00 μB per formula unit
* ΔE_f (raw): -2.254 eV per atom



A PBEsol-optimized structure of MgZn2PtF. Source: Alexandria, functional meta-GGA SCAN.

POSCAR file:
```
MgZn2PtF
1.0
4.051 0.000 0.000
0.000 4.051 0.000
0.000 0.000 4.961
Mg Zn Pt F
1 2 1 1
Direct
0.000 0.000 0.000 Mg
0.000 0.500 0.500 Zn
0.500 0.000 0.500 Zn
0.500 0.500 0.000 Pt
0.500 0.500 0.500 F
```

Summary:
* electronic total energy: -21.31 eV per atom
* SG: No. 123
* crystal system: tetragonal
* magnetization: 0.00 μB per formula unit
* ΔE_f (raw): -0.166 eV per atom



A PBEsol-optimized structure of Mg2AgMo. Source: Alexandria, functional meta-GGA SCAN.

POSCAR file:
```
Mg2AgMo
1.0
1.927 -2.003 0.000
1.927 2.003 0.000
0.000 0.000 8.798
Mg Ag Mo
2 1 1
Direct
0.000 0.000 0.250 Mg
0.000 0.000 0.750 Mg
0.500 0.500 0.000 Ag
0.500 0.500 0.500 Mo
```

Summary:
* electronic total energy: -18.95 eV per atom
* polymorph energy (0 for the lowest one): 0 meV/atom
* SG: No. 65
* crystal system: orthorhombic
* magnetization: 0.00 μB per formula unit



A PBEsol-optimized structure of KMo2Au. Source: Alexandria, functional meta-GGA SCAN.

POSCAR file:
```
KMo2Au
1.0
3.829 0.000 0.000
0.000 3.829 0.000
0.000 0.000 5.060
K Mo Au
1 2 1
Direct
0.000 0.000 0.000 K
0.000 0.500 0.500 Mo
0.500 0.000 0.500 Mo
0.500 0.500 0.000 Au
```

Summary:
* electronic total energy: -35.53 eV per atom
* polymorph energy (0 for the lowest one): 648 meV/atom
* SG: No. 123
* crystal system: tetragonal
* magnetization: 0.00 μB per formula unit



A PBEsol-optimized structure of Ca5Mg3. Source: Alexandria, functional meta-GGA SCAN.

POSCAR file:
```
Ca5Mg3
1.0
9.744 0.000 0.000
-4.872 8.438 0.000
0.000 0.000 6.664
Ca Mg
10 6
Direct
0.000 0.245 0.250 Ca
0.000 0.755 0.750 Ca
0.245 0.000 0.250 Ca
0.245 0.245 0.750 Ca
0.333 0.667 0.000 Ca
0.333 0.667 0.500 Ca
0.667 0.333 0.000 Ca
0.667 0.333 0.500 Ca
0.755 0.000 0.750 Ca
0.755 0.755 0.250 Ca
0.000 0.404 0.750 Mg
0.000 0.596 0.250 Mg
0.404 0.000 0.750 Mg
0.404 0.404 0.250 Mg
0.596 0.000 0.250 Mg
0.596 0.596 0.750 Mg
```

Summary:
* electronic total energy: -7.92 eV per atom
* polymorph energy (0 for the lowest one): 18 meV/atom
* SG: No. 193
* crystal system: hexagonal
* magnetization: 0.81 μB per formula unit



A PBEsol-optimized structure of Co5SbO8. Source: Alexandria, functional meta-GGA SCAN.

POSCAR file:
```
Co5SbO8
1.0
2.861 1.652 4.891
-2.861 1.652 4.891
0.000 -3.304 4.891
Co Sb O
5 1 8
Direct
0.000 0.500 0.500 Co
0.137 0.137 0.137 Co
0.500 0.000 0.500 Co
0.500 0.500 0.000 Co
0.863 0.863 0.863 Co
0.500 0.500 0.500 Sb
0.253 0.253 0.723 O
0.253 0.723 0.253 O
0.266 0.266 0.266 O
0.277 0.747 0.747 O
0.723 0.253 0.253 O
0.734 0.734 0.734 O
0.747 0.277 0.747 O
0.747 0.747 0.277 O
```

Summary:
* electronic total energy: -13.69 eV per atom
* SG: No. 166
* crystal system: trigonal
* magnetization: 4.01 μB per formula unit
* ΔE_f (raw): -1.293 eV per atom



A PBEsol-optimized structure of NaN2O2. Source: Alexandria, functional meta-GGA SCAN.

POSCAR file:
```
NaN2O2
1.0
4.556 0.000 0.000
0.000 4.556 0.000
0.000 0.000 5.190
Na N O
1 2 2
Direct
0.000 0.000 0.000 Na
0.000 0.000 0.500 N
0.500 0.500 0.500 N
0.000 0.500 0.000 O
0.500 0.000 0.000 O
```

Summary:
* electronic total energy: -4.95 eV per atom
* SG: No. 123
* crystal system: tetragonal
* magnetization: 9.00 μB per formula unit
* ΔE_f (raw): 2.107 eV per atom



A PBEsol-optimized structure of LaTa2Mn. Source: Alexandria, functional meta-GGA SCAN.

POSCAR file:
```
LaTa2Mn
1.0
5.319 -1.509 0.000
5.319 1.509 0.000
-1.753 0.000 4.811
La Ta Mn
1 2 1
Direct
0.000 0.000 0.000 La
0.201 0.201 0.684 Ta
0.799 0.799 0.316 Ta
0.500 0.500 0.500 Mn
```

Summary:
* electronic total energy: -48.15 eV per atom
* polymorph energy (0 for the lowest one): 169 meV/atom
* SG: No. 12
* crystal system: monoclinic
* magnetization: 0.00 μB per formula unit